Here is Sr2AcCrO6 after structural relaxation from Alexandria. Energies are from GGA+U.

Geometry as extended XYZ:
```
10
Lattice="-1.133 -1.369 -4.892 -3.970 -3.685 1.951 -3.977 4.156 -0.242" Properties=species:S:1:pos:R:3 pbc="T T T"
Ac -4.620 -0.545 -1.936
O -4.791 1.467 -3.286
O -2.542 -0.883 -3.149
O -7.035 -0.617 -2.183
O -0.320 -0.387 -1.383
O -4.787 -2.966 -2.046
O -4.101 0.081 0.302
Cr -0.686 -0.829 -2.961
Sr -3.120 0.711 -5.005
Sr -3.116 -3.209 -3.909
```

Properties
crystal system: tetragonal
total DFT energy (no corrections): -69.0 eV for the cell shown
mass density: 5.30 g/cm3